Entry 1:
# Zn4BiPb | Alexandria via LeMat-Bulk | GGA-PBE | relaxed
# - energy of formation from the pure elements (meV/atom) = 140
# - space-group type = F-43m (216)
# - magnetization (μB/cell) = 0.0
data_Zn4BiPb
_cell_length_a 5.640
_cell_length_b 5.640
_cell_length_c 5.640
_cell_angle_alpha 60.00
_cell_angle_beta 60.00
_cell_angle_gamma 60.00
_symmetry_space_group_name_H-M 'P 1'
_symmetry_Int_Tables_number 1
loop_
_symmetry_equiv_pos_as_xyz
'x,y,z'
loop_
_atom_site_label
_atom_site_type_symbol
_atom_site_fract_x
_atom_site_fract_y
_atom_site_fract_z
Zn1 Zn 0.125 0.125 0.125
Zn2 Zn 0.125 0.125 0.625
Zn3 Zn 0.125 0.625 0.125
Zn4 Zn 0.625 0.125 0.125
Bi1 Bi 0.750 0.750 0.750
Pb1 Pb 0.500 0.500 0.500

=====

Entry 2:
# HoZrTl2Se4 | Alexandria via LeMat-Bulk | GGA-PBE | relaxed
# - raw formation energy (eV per atom) = -1.151
# - space-group type = P2/m (10)
# - magnetization (μB/cell) = 0.0
data_HoZrTl2Se4
_cell_length_a 6.941
_cell_length_b 3.954
_cell_length_c 8.367
_cell_angle_alpha 90.00
_cell_angle_beta 105.07
_cell_angle_gamma 90.00
_symmetry_space_group_name_H-M 'P 1'
_symmetry_Int_Tables_number 1
loop_
_symmetry_equiv_pos_as_xyz
'x,y,z'
loop_
_atom_site_label
_atom_site_type_symbol
_atom_site_fract_x
_atom_site_fract_y
_atom_site_fract_z
Ho1 Ho 0.000 0.000 0.000
Zr1 Zr 0.500 0.500 0.000
Tl1 Tl 0.000 0.500 0.500
Tl2 Tl 0.500 0.000 0.500
Se1 Se 0.243 0.500 0.202
Se2 Se 0.280 0.000 0.802
Se3 Se 0.720 0.000 0.198
Se4 Se 0.757 0.500 0.798

=====

Entry 3:
# Pr4Nd4Ho3 | Alexandria via LeMat-Bulk | GGA-PBE | relaxed
# - energy of formation from the pure elements (meV/atom) = 57
# - space-group type = C2/m (12)
# - magnetization (μB/cell) = 0.0
# - distance to the lowest polymorph of the same formula (eV/atom) = 0.000
data_Pr4Nd4Ho3
_cell_length_a 18.518
_cell_length_b 18.518
_cell_length_c 5.776
_cell_angle_alpha 98.90
_cell_angle_beta 98.90
_cell_angle_gamma 11.12
_symmetry_space_group_name_H-M 'P 1'
_symmetry_Int_Tables_number 1
loop_
_symmetry_equiv_pos_as_xyz
'x,y,z'
loop_
_atom_site_label
_atom_site_type_symbol
_atom_site_fract_x
_atom_site_fract_y
_atom_site_fract_z
Pr1 Pr 0.090 0.090 0.091
Pr2 Pr 0.231 0.231 0.732
Pr3 Pr 0.769 0.769 0.268
Pr4 Pr 0.910 0.910 0.909
Nd1 Nd 0.046 0.046 0.547
Nd2 Nd 0.180 0.180 0.181
Nd3 Nd 0.820 0.820 0.819
Nd4 Nd 0.954 0.954 0.453
Ho1 Ho 0.365 0.365 0.364
Ho2 Ho 0.500 0.500 0.000
Ho3 Ho 0.635 0.635 0.636

=====

Entry 4:
# KRbPdO2 | Alexandria via LeMat-Bulk | GGA-PBE | relaxed
# - raw formation energy (eV per atom) = -0.844
# - space-group type = Pmma (51)
# - magnetization (μB/cell) = 0.0
data_KRbPdO2
_cell_length_a 5.945
_cell_length_b 6.687
_cell_length_c 5.665
_cell_angle_alpha 90.00
_cell_angle_beta 90.00
_cell_angle_gamma 90.00
_symmetry_space_group_name_H-M 'P 1'
_symmetry_Int_Tables_number 1
loop_
_symmetry_equiv_pos_as_xyz
'x,y,z'
loop_
_atom_site_label
_atom_site_type_symbol
_atom_site_fract_x
_atom_site_fract_y
_atom_site_fract_z
K1 K 0.250 0.000 0.002
K2 K 0.750 0.000 0.998
Rb1 Rb 0.250 0.500 0.692
Rb2 Rb 0.750 0.500 0.308
Pd1 Pd 0.000 0.000 0.500
Pd2 Pd 0.500 0.000 0.500
O1 O 0.250 0.199 0.387
O2 O 0.250 0.801 0.387
O3 O 0.750 0.199 0.613
O4 O 0.750 0.801 0.613

=====

Entry 5:
# AcGdHoGa | Alexandria via LeMat-Bulk | GGA-PBE | relaxed
# - energy of formation from the pure elements (meV/atom) = 32
# - space-group type = F-43m (216)
# - magnetization (μB/cell) = 8.4
data_AcGdHoGa
_cell_length_a 5.504
_cell_length_b 5.504
_cell_length_c 5.504
_cell_angle_alpha 60.00
_cell_angle_beta 60.00
_cell_angle_gamma 60.00
_symmetry_space_group_name_H-M 'P 1'
_symmetry_Int_Tables_number 1
loop_
_symmetry_equiv_pos_as_xyz
'x,y,z'
loop_
_atom_site_label
_atom_site_type_symbol
_atom_site_fract_x
_atom_site_fract_y
_atom_site_fract_z
Ac1 Ac 0.000 0.000 0.000
Gd1 Gd 0.250 0.250 0.250
Ho1 Ho 0.750 0.750 0.750
Ga1 Ga 0.500 0.500 0.500

=====

Entry 6:
# NaLi10Mg | Alexandria via LeMat-Bulk | GGA-PBE | relaxed
# - energy of formation from the pure elements (meV/atom) = 92
# - space-group type = Pmmm (47)
# - magnetization (μB/cell) = 0.0
data_NaLi10Mg
_cell_length_a 4.899
_cell_length_b 5.655
_cell_length_c 9.943
_cell_angle_alpha 90.00
_cell_angle_beta 90.00
_cell_angle_gamma 90.00
_symmetry_space_group_name_H-M 'P 1'
_symmetry_Int_Tables_number 1
loop_
_symmetry_equiv_pos_as_xyz
'x,y,z'
loop_
_atom_site_label
_atom_site_type_symbol
_atom_site_fract_x
_atom_site_fract_y
_atom_site_fract_z
Na1 Na 0.000 0.000 0.000
Li1 Li 0.000 0.000 0.346
Li2 Li 0.000 0.000 0.654
Li3 Li 0.000 0.500 0.182
Li4 Li 0.000 0.500 0.818
Li5 Li 0.500 0.000 0.500
Li6 Li 0.500 0.259 0.266
Li7 Li 0.500 0.259 0.734
Li8 Li 0.500 0.500 0.000
Li9 Li 0.500 0.741 0.266
Li10 Li 0.500 0.741 0.734
Mg1 Mg 0.000 0.500 0.500

=====

Entry 7:
# Nd3MgNi3 | Alexandria via LeMat-Bulk | GGA-PBE | relaxed
# - energy of formation from the pure elements (meV/atom) = -278
# - space-group type = Cmcm (63)
# - magnetization (μB/cell) = 0.0
# - distance to the lowest polymorph of the same formula (eV/atom) = 0.000
data_Nd3MgNi3
_cell_length_a 5.568
_cell_length_b 5.568
_cell_length_c 13.701
_cell_angle_alpha 90.00
_cell_angle_beta 90.00
_cell_angle_gamma 134.49
_symmetry_space_group_name_H-M 'P 1'
_symmetry_Int_Tables_number 1
loop_
_symmetry_equiv_pos_as_xyz
'x,y,z'
loop_
_atom_site_label
_atom_site_type_symbol
_atom_site_fract_x
_atom_site_fract_y
_atom_site_fract_z
Nd1 Nd 0.018 0.982 0.750
Nd2 Nd 0.298 0.702 0.606
Nd3 Nd 0.298 0.702 0.894
Nd4 Nd 0.702 0.298 0.106
Nd5 Nd 0.702 0.298 0.394
Nd6 Nd 0.982 0.018 0.250
Mg1 Mg 0.000 0.000 0.000
Mg2 Mg 0.000 0.000 0.500
Ni1 Ni 0.276 0.724 0.250
Ni2 Ni 0.409 0.591 0.096
Ni3 Ni 0.409 0.591 0.404
Ni4 Ni 0.591 0.409 0.596
Ni5 Ni 0.591 0.409 0.904
Ni6 Ni 0.724 0.276 0.750

=====

Entry 8:
# NdSm6Th | Alexandria via LeMat-Bulk | GGA-PBE | relaxed
# - energy of formation from the pure elements (meV/atom) = 30
# - space-group type = P4/mmm (123)
# - magnetization (μB/cell) = 0.0
# - distance to the lowest polymorph of the same formula (eV/atom) = 0.000
data_NdSm6Th
_cell_length_a 5.129
_cell_length_b 5.129
_cell_length_c 10.250
_cell_angle_alpha 90.00
_cell_angle_beta 90.00
_cell_angle_gamma 90.00
_symmetry_space_group_name_H-M 'P 1'
_symmetry_Int_Tables_number 1
loop_
_symmetry_equiv_pos_as_xyz
'x,y,z'
loop_
_atom_site_label
_atom_site_type_symbol
_atom_site_fract_x
_atom_site_fract_y
_atom_site_fract_z
Nd1 Nd 0.000 0.000 0.000
Sm1 Sm 0.000 0.500 0.255
Sm2 Sm 0.000 0.500 0.745
Sm3 Sm 0.500 0.000 0.255
Sm4 Sm 0.500 0.000 0.745
Sm5 Sm 0.500 0.500 0.000
Sm6 Sm 0.500 0.500 0.500
Th1 Th 0.000 0.000 0.500

=====

Number 1: E -11.8 eV/cell. Number 2: E -41.0 eV/cell. Number 3: E -51.3 eV/cell. Number 4: E -42.8 eV/cell. Number 5: E -25.7 eV/cell. Number 6: E -21.0 eV/cell. Number 7: E -70.4 eV/cell. Number 8: E -40.3 eV/cell.